Compound: LaCdP2
Source: Alexandria
Functional: PBE
Structure: optimized geometry

Properties
DOS at the Fermi energy (states/eV per atom): 0.42
Offset from the most stable computed form (meV/atom): 78.2
Calculated volume (Å³ per atom): 21.49
Total energy (Ha/atom): -0.174
ΔH_f (0 K) (meV per atom): -559

Cell and atoms, written as CIF:
```
data_LaCdP2
_space_group_name_H-M_alt 'P 4/m m m'
_space_group_IT_number 123
_space_group_name_Hall '-P 4 2'
_cell_length_a 4.701
_cell_length_b 4.701
_cell_length_c 3.890
_cell_angle_alpha 90.00
_cell_angle_beta 90.00
_cell_angle_gamma 90.00
loop_
_atom_site_label
_atom_site_fract_x
_atom_site_fract_y
_atom_site_fract_z
_atom_site_occupancy
La1 0.000 0.000 0.000 1
Cd1 0.500 0.500 0.000 1
P1 0.000 0.500 0.500 1
```